Entry from Alexandria via LeMat-Bulk: Li2NdCoF8 after structural relaxation (PBE with a Hubbard U).

Summary:
- density (Mg/m³) = 3.9
- electronic total energy (eV per atom) = -5.2783
- magnetization (μB per cell) = 2.0
- space group = P-1, No. 2

Unit cell a=4.619 b=4.924 c=6.985 alpha=87.39 beta=88.95 gamma=81.61
Last column: magnetic moment on the atom in μB.
Atoms (fractional coordinates):
Li1 0.423 0.423 0.768  0.00
Li2 0.577 0.577 0.232  0.00
Nd1 0.000 0.000 0.500  0.00
Co1 0.000 0.000 0.000  1.89
F1 0.193 0.794 0.213  -0.02
F2 0.733 0.769 0.013  0.01
F3 0.800 0.226 0.223  0.05
F4 0.807 0.206 0.787  -0.02
F5 0.267 0.231 0.987  0.01
F6 0.200 0.774 0.777  0.05
F7 0.663 0.713 0.473  0.00
F8 0.337 0.287 0.527  0.00